The following is a PBE calculation of a relaxed structure of ReTePt2, from Alexandria via LeMat-Bulk.

Calculated values
Total energy ... -6.60 eV per atom
Space-group type ... R-3m, No. 166
Total magnetic moment ... 0.000 μB/atom
Raw formation energy ... 321 meV per atom
Crystal system ... trigonal
Theoretical density ... 16.4 g/cm3
DOS(E_F) ... 4.2 states/eV per cell

Unit cell a=9.6292 b=9.6292 c=9.6292 alpha=17.59 beta=17.59 gamma=17.59
Closest atoms and distances in Å follow each position.
Atoms (fractional coordinates):
Pt: 0.9914 0.9914 0.9914  3 Re 2.72, 6 Pt 2.94
Pt: 0.5086 0.5086 0.5086  3 Re 2.72, 6 Pt 2.94
Re: 0.2500 0.2500 0.2500  6 Pt 2.72, 6 Re 2.94
Te: 0.7500 0.7500 0.7500  6 Te 2.94, 6 Pt 3.12

***

The following is a PBE calculation of a relaxed structure of ReTe2Pt, from Alexandria via LeMat-Bulk.

Calculated values
Total energy ... -5.52 eV per atom
Space-group type ... P2/m, No. 10
Total magnetic moment ... 0.000 μB/atom
Raw formation energy ... 675 meV per atom
Crystal system ... monoclinic
Theoretical density ... 12.6 g/cm3
DOS(E_F) ... 3.1 states/eV per cell
Offset from the most stable computed form ... 0.468 eV/atom

Unit cell a=4.5317 b=2.8454 c=7.1121 alpha=113.67 beta=90.00 gamma=90.00
Closest atoms and distances in Å follow each position.
Atoms (fractional coordinates):
Pt: 0.5000 0.2500 0.2500  4 Te 2.80, 2 Pt 2.85
Re: 0.5000 0.7500 0.7500  4 Te 2.78, 2 Re 2.85
Te: 0.0000 0.9957 0.9974  2 Re 2.78, 2 Pt 2.80, 2 Te 2.85
Te: 0.0000 0.5043 0.5026  2 Re 2.78, 2 Pt 2.80, 2 Te 2.85

***

The following is a PBE calculation of a relaxed structure of ReTePt2, from Alexandria via LeMat-Bulk.

Calculated values
Total energy ... -6.58 eV per atom
Space-group type ... Imm2, No. 44
Total magnetic moment ... 0.000 μB/atom
Raw formation energy ... 338 meV per atom
Crystal system ... orthorhombic
Theoretical density ... 14.5 g/cm3
DOS(E_F) ... 3.2 states/eV per cell

Unit cell a=7.4413 b=7.4413 c=7.4413 alpha=158.17 beta=148.23 gamma=38.88
Closest atoms and distances in Å follow each position.
Atoms (fractional coordinates):
Pt: 0.9681 0.9681 0.0000  4 Re 2.63, 2 Pt 2.82
Pt: 0.6858 0.1858 0.5000  2 Re 2.58, 2 Pt 2.82
Re: 0.5320 0.5320 0.0000  6 Pt 2.58-2.63, 2 Re 2.82
Te: 0.3141 0.8141 0.5000  2 Te 2.82, 6 Pt 2.97-3.06

***

The following is a PBE calculation of a relaxed structure of Re2TePt, from Alexandria via LeMat-Bulk.

Calculated values
Total energy ... -8.07 eV per atom
Space-group type ... Pmm2, No. 25
Total magnetic moment ... 0.000 μB/atom
Raw formation energy ... 454 meV per atom
Crystal system ... orthorhombic
Theoretical density ... 16.6 g/cm3
DOS(E_F) ... 3.2 states/eV per cell

Unit cell a=3.0192 b=3.7720 c=6.1067 alpha=90.00 beta=90.00 gamma=90.00
Closest atoms and distances in Å follow each position.
Atoms (fractional coordinates):
Pt: 0.5000 0.5000 0.7744  5 Re 2.67-2.85, 4 Te 2.97
Re: 0.0000 0.0000 0.0230  4 Re 2.68, 4 Pt 2.85, 1 Te 2.85
Re: 0.5000 0.5000 0.2122  1 Pt 2.67, 4 Re 2.68, 4 Te 2.95
Te: 0.0000 0.0000 0.4904  5 Re 2.85-2.95, 4 Pt 2.97, 2 Te 3.02

***

The following is a PBE calculation of a relaxed structure of ReTePt2, from Alexandria via LeMat-Bulk.

Calculated values
Total energy ... -6.46 eV per atom
Space-group type ... P4/mmm, No. 123
Total magnetic moment ... 0.258 μB/atom
Raw formation energy ... 461 meV per atom
Crystal system ... tetragonal
Theoretical density ... 16.5 g/cm3
DOS(E_F) ... 2.5 states/eV per cell

Unit cell a=5.0113 b=5.0113 c=2.8183 alpha=90.00 beta=90.00 gamma=90.00
Closest atoms and distances in Å follow each position.
Atoms (fractional coordinates):
Pt: 0.0000 0.0000 0.0000  2 Pt 2.82, 4 Re 2.87, 4 Te 2.87
Pt: 0.5000 0.5000 0.0000  2 Pt 2.82, 4 Te 2.87, 4 Re 2.87
Re: 0.5000 0.0000 0.5000  2 Re 2.82, 8 Pt 2.87
Te: 0.0000 0.5000 0.5000  2 Te 2.82, 8 Pt 2.87

***

The following is a PBE calculation of a relaxed structure of ReTePt2, from Alexandria via LeMat-Bulk.

Calculated values
Total energy ... -6.51 eV per atom
Space-group type ... R3m, No. 160
Total magnetic moment ... 0.000 μB/atom
Raw formation energy ... 403 meV per atom
Crystal system ... trigonal
Theoretical density ... 16.8 g/cm3
DOS(E_F) ... 2.8 states/eV per cell

Unit cell a=8.9190 b=8.9190 c=8.9190 alpha=19.60 beta=19.60 gamma=19.60
Closest atoms and distances in Å follow each position.
Atoms (fractional coordinates):
Pt: 0.9989 0.9989 0.9989  9 Pt 2.86-3.04, 3 Te 2.90
Pt: 0.2462 0.2462 0.2462  3 Re 2.70, 3 Pt 2.86
Re: 0.5012 0.5012 0.5012  3 Pt 2.70, 3 Te 2.75
Te: 0.7538 0.7538 0.7538  3 Re 2.75, 3 Pt 2.90, 6 Te 3.04

***

The following is a PBE calculation of a relaxed structure of ReTe2Pt, from Alexandria via LeMat-Bulk.

Calculated values
Total energy ... -5.73 eV per atom
Space-group type ... Imm2, No. 44
Total magnetic moment ... 0.000 μB/atom
Raw formation energy ... 465 meV per atom
Crystal system ... orthorhombic
Theoretical density ... 12.4 g/cm3
DOS(E_F) ... 2.2 states/eV per cell
Offset from the most stable computed form ... 0.257 eV/atom

Unit cell a=6.8331 b=6.8331 c=6.8331 alpha=153.00 beta=143.90 gamma=45.66
Closest atoms and distances in Å follow each position.
Atoms (fractional coordinates):
Pt: 0.5677 0.5677 0.0000  6 Te 2.81-3.06, 2 Re 3.03
Re: 0.7721 0.2721 0.5000  6 Te 2.71-2.75, 2 Pt 3.03
Te: 0.9456 0.9456 0.0000  2 Re 2.71
Te: 0.2146 0.7146 0.5000  4 Re 2.75, 2 Pt 2.81

***

The following is a PBE calculation of a relaxed structure of ReTe2Pt, from Alexandria via LeMat-Bulk.

Calculated values
Total energy ... -5.54 eV per atom
Space-group type ... Fm-3m, No. 225
Total magnetic moment ... 0.222 μB/atom
Raw formation energy ... 657 meV per atom
Crystal system ... cubic
Theoretical density ... 13.6 g/cm3
DOS(E_F) ... 4.0 states/eV per cell
Offset from the most stable computed form ... 0.450 eV/atom

Unit cell a=4.7927 b=4.7927 c=4.7927 alpha=60.00 beta=60.00 gamma=60.00
Closest atoms and distances in Å follow each position.
Atoms (fractional coordinates):
Re: 0.0000 0.0000 0.0000  8 Te 2.93
Te: 0.2500 0.2500 0.2500  4 Pt 2.93, 4 Re 2.93
Te: 0.7500 0.7500 0.7500  4 Pt 2.93, 4 Re 2.93
Pt: 0.5000 0.5000 0.5000  8 Te 2.93

***

The following is a PBE calculation of a relaxed structure of ReTePt2, from Alexandria via LeMat-Bulk.

Calculated values
Total energy ... -6.74 eV per atom
Space-group type ... P4/mmm, No. 123
Total magnetic moment ... 0.000 μB/atom
Raw formation energy ... 175 meV per atom
Crystal system ... tetragonal
Theoretical density ... 16.3 g/cm3
DOS(E_F) ... 1.9 states/eV per cell

Unit cell a=2.8867 b=2.8867 c=8.6265 alpha=90.00 beta=90.00 gamma=90.01
Closest atoms and distances in Å follow each position.
Atoms (fractional coordinates):
Pt: 0.0000 0.0000 0.0382  4 Re 2.74, 4 Pt 2.89
Pt: 0.0000 0.0000 0.4618  4 Re 2.74, 4 Pt 2.89
Re: 0.5000 0.5000 0.2500  8 Pt 2.74, 4 Re 2.89
Te: 0.5000 0.5000 0.7500  4 Te 2.89, 8 Pt 3.22

***

The following is a PBE calculation of a relaxed structure of ReTePt2, from Alexandria via LeMat-Bulk.

Calculated values
Total energy ... -6.53 eV per atom
Space-group type ... C2/m, No. 12
Total magnetic moment ... 0.000 μB/atom
Raw formation energy ... 392 meV per atom
Crystal system ... monoclinic
Theoretical density ... 16.8 g/cm3
DOS(E_F) ... 3.3 states/eV per cell

Unit cell a=5.0797 b=5.0797 c=4.6510 alpha=83.71 beta=83.71 gamma=35.69
Closest atoms and distances in Å follow each position.
Atoms (fractional coordinates):
Pt: 0.0199 0.0199 0.9813  1 Te 2.67, 4 Pt 2.72-2.93, 3 Re 2.82-2.94
Pt: 0.4801 0.4801 0.5187  1 Te 2.67, 4 Pt 2.72-2.93, 3 Re 2.82-2.94
Re: 0.7500 0.7500 0.7500  4 Te 2.80, 6 Pt 2.82-2.94, 2 Re 3.11
Te: 0.2500 0.2500 0.2500  2 Pt 2.67, 4 Re 2.80

***

The following is a PBE calculation of a relaxed structure of Re2TePt, from Alexandria via LeMat-Bulk.

Calculated values
Total energy ... -7.94 eV per atom
Space-group type ... P4/mmm, No. 123
Total magnetic moment ... 0.000 μB/atom
Raw formation energy ... 582 meV per atom
Crystal system ... tetragonal
Theoretical density ... 17.6 g/cm3
DOS(E_F) ... 3.0 states/eV per cell

Unit cell a=3.1163 b=4.5877 c=4.5877 alpha=90.00 beta=90.00 gamma=90.00
Closest atoms and distances in Å follow each position.
Atoms (fractional coordinates):
Pt: 0.5000 0.0000 0.5000  8 Re 2.77
Re: 0.0000 0.0000 0.0000  4 Te 2.77, 4 Pt 2.77
Re: 0.0000 0.5000 0.5000  4 Pt 2.77, 4 Te 2.77
Te: 0.5000 0.5000 0.0000  8 Re 2.77

***

The following is a PBE calculation of a relaxed structure of ReTe2Pt, from Alexandria via LeMat-Bulk.

Calculated values
Total energy ... -5.41 eV per atom
Space-group type ... I-4m2, No. 119
Total magnetic moment ... 0.000 μB/atom
Raw formation energy ... 782 meV per atom
Crystal system ... tetragonal
Theoretical density ... 13.5 g/cm3
DOS(E_F) ... 2.8 states/eV per cell
Offset from the most stable computed form ... 0.575 eV/atom

Unit cell a=5.5400 b=5.5400 c=5.5400 alpha=136.99 beta=136.99 gamma=62.45
Closest atoms and distances in Å follow each position.
Atoms (fractional coordinates):
Pt: 0.5000 0.5000 0.0000  8 Te 2.87-3.12, 4 Re 3.12
Re: 0.7500 0.2500 0.5000  8 Te 2.87-3.12, 4 Pt 3.12
Te: 0.0000 0.0000 0.0000  4 Pt 2.87, 4 Te 3.12, 4 Re 3.12
Te: 0.2500 0.7500 0.5000  4 Re 2.87, 4 Te 3.12, 4 Pt 3.12

***

The following is a PBE calculation of a relaxed structure of Re2TePt2, from Alexandria via LeMat-Bulk.

Calculated values
Total energy ... -7.67 eV per atom
Space-group type ... I4/mmm, No. 139
Total magnetic moment ... 0.000 μB/atom
Raw formation energy ... 351 meV per atom
Crystal system ... tetragonal
Theoretical density ... 16.2 g/cm3
DOS(E_F) ... 4.4 states/eV per cell

Unit cell a=7.3167 b=7.3167 c=7.3167 alpha=151.08 beta=151.08 gamma=41.36
Closest atoms and distances in Å follow each position.
Atoms (fractional coordinates):
Re: 0.2500 0.7500 0.5000  4 Re 2.58, 4 Pt 2.72
Re: 0.7500 0.2500 0.5000  4 Re 2.58, 4 Pt 2.72
Te: 0.0000 0.0000 0.0000  8 Pt 2.94
Pt: 0.6024 0.6024 0.0000  4 Re 2.72, 1 Pt 2.80, 4 Te 2.94
Pt: 0.3976 0.3976 0.0000  4 Re 2.72, 1 Pt 2.80, 4 Te 2.94

***

The following is a PBE calculation of a relaxed structure of ReTe2Pt, from Alexandria via LeMat-Bulk.

Calculated values
Total energy ... -5.68 eV per atom
Space-group type ... C2/m, No. 12
Total magnetic moment ... 0.000 μB/atom
Raw formation energy ... 513 meV per atom
Crystal system ... monoclinic
Theoretical density ... 13.1 g/cm3
DOS(E_F) ... 3.6 states/eV per cell
Offset from the most stable computed form ... 0.306 eV/atom

Unit cell a=4.6309 b=4.6309 c=5.6471 alpha=79.39 beta=79.39 gamma=42.74
Closest atoms and distances in Å follow each position.
Atoms (fractional coordinates):
Pt: 0.7500 0.7500 0.7500  6 Te 2.71-3.02
Re: 0.2500 0.2500 0.2500  6 Te 2.74-2.90
Te: 0.9802 0.9802 0.0134  3 Pt 2.71-3.02, 3 Re 2.74-2.90
Te: 0.5198 0.5198 0.4866  3 Pt 2.71-3.02, 3 Re 2.74-2.90

***

The following is a PBE calculation of a relaxed structure of ReTe2Pt, from Alexandria via LeMat-Bulk.

Calculated values
Total energy ... -5.52 eV per atom
Space-group type ... Cmmm, No. 65
Total magnetic moment ... 0.000 μB/atom
Raw formation energy ... 678 meV per atom
Crystal system ... orthorhombic
Theoretical density ... 12.5 g/cm3
DOS(E_F) ... 3.0 states/eV per cell
Offset from the most stable computed form ... 0.471 eV/atom

Unit cell a=6.2366 b=6.2366 c=2.8612 alpha=62.74 beta=62.74 gamma=90.94
Closest atoms and distances in Å follow each position.
Atoms (fractional coordinates):
Pt: 0.5000 0.0000 0.5000  4 Te 2.77, 2 Pt 2.86
Re: 0.0000 0.5000 0.5000  4 Te 2.77, 2 Re 2.86
Te: 0.0000 0.0000 0.0000  2 Pt 2.77, 2 Re 2.77, 2 Te 2.86
Te: 0.5000 0.5000 0.0000  2 Re 2.77, 2 Pt 2.77, 2 Te 2.86